Entry 1:
Density functional theory data (GGA-PBEsol) for a relaxed structure of La2BI.

The structure in POSCAR format:
```
La2BI
1.0
6.723 0.080 0.130
-2.465 6.255 -0.130
-2.465 -2.941 5.522
B La I
2 4 2
Direct
0.000 0.500 0.500
0.500 0.250 0.750
0.576 0.201 0.125
0.076 0.875 0.451
0.424 0.549 0.625
0.924 0.375 0.799
0.000 0.000 0.000
0.500 0.750 0.250
```

formation energy (no corrections): -0.29 eV/atom
space-group type: I-42d, No. 122


Entry 2:
Density functional theory data (GGA-PBEsol) for a relaxed structure of LaBSbI2.

The structure in POSCAR format:
```
LaBSbI2
1.0
5.054 0.000 0.000
0.000 5.054 0.000
0.000 0.000 5.059
B Sb La I
1 1 1 2
Direct
0.000 0.000 0.000
0.000 0.000 0.500
0.500 0.500 0.500
0.000 0.500 0.000
0.500 0.000 0.000
```

formation energy (no corrections): 0.02 eV/atom
space-group type: P4/mmm, No. 123


Entry 3:
Density functional theory data (GGA-PBEsol) for a relaxed structure of LiBMoI2.

The structure in POSCAR format:
```
LiBMoI2
1.0
-1.391 2.742 -3.712
-4.785 0.032 1.817
1.059 4.210 2.713
I B Mo Li
2 1 1 1
Direct
0.000 0.000 0.500
0.000 0.500 0.000
0.500 0.500 0.500
0.500 0.000 0.000
0.000 0.000 0.000
```

formation energy (no corrections): 1.75 eV/atom
space-group type: P4/mmm, No. 123


Entry 4:
Density functional theory data (GGA-PBEsol) for a relaxed structure of Mg2BI2.

The structure in POSCAR format:
```
Mg2BI2
1.0
-3.748 -2.437 -0.128
1.093 -2.075 7.513
-4.153 6.264 2.334
I B Mg
4 2 4
Direct
0.000 0.710 0.210
0.000 0.290 0.790
0.000 0.210 0.290
0.000 0.790 0.710
0.000 0.500 0.500
0.000 0.000 0.000
0.500 0.873 0.373
0.500 0.373 0.127
0.500 0.127 0.627
0.500 0.627 0.873
```

formation energy (no corrections): 0.65 eV/atom
space-group type: P4/mbm, No. 127


Entry 5:
Density functional theory data (GGA-PBEsol) for a relaxed structure of Mg8B5IN10.

The structure in POSCAR format:
```
Mg8B5IN10
1.0
9.357 0.000 0.000
4.678 8.772 -0.013
4.678 1.639 8.618
B N Mg I
10 20 16 2
Direct
0.750 0.597 0.903
0.250 0.403 0.097
0.115 0.286 0.485
0.456 0.396 0.692
0.544 0.604 0.308
0.044 0.808 0.104
0.885 0.714 0.515
0.615 0.985 0.786
0.956 0.192 0.896
0.385 0.015 0.214
0.186 0.807 0.107
0.814 0.193 0.893
0.241 0.019 0.212
0.400 0.607 0.307
0.741 0.712 0.519
0.107 0.401 0.099
0.759 0.981 0.788
0.314 0.393 0.693
0.600 0.393 0.693
0.259 0.288 0.481
0.028 0.712 0.519
0.972 0.288 0.481
0.607 0.599 0.901
0.893 0.599 0.901
0.900 0.807 0.107
0.472 0.981 0.788
0.393 0.401 0.099
0.100 0.193 0.893
0.528 0.019 0.212
0.686 0.607 0.307
0.748 0.000 0.000
0.605 0.395 0.895
0.817 0.183 0.683
0.044 0.225 0.275
0.248 0.500 0.500
0.456 0.225 0.275
0.183 0.817 0.317
0.752 0.500 0.500
0.252 0.000 0.000
0.895 0.605 0.105
0.317 0.183 0.683
0.544 0.775 0.725
0.395 0.605 0.105
0.956 0.775 0.725
0.105 0.395 0.895
0.683 0.817 0.317
0.750 0.148 0.352
0.250 0.852 0.648
```

formation energy (no corrections): -1.00 eV/atom
space-group type: Imma, No. 74


Entry 6:
Density functional theory data (GGA-PBEsol) for a relaxed structure of MgBSbI2.

The structure in POSCAR format:
```
MgBSbI2
1.0
-3.979 -0.261 -3.172
-3.166 -0.196 3.988
-0.309 4.813 -0.009
I Mg Sb B
2 1 1 1
Direct
0.000 0.500 0.000
0.500 0.000 0.000
0.500 0.500 0.500
0.000 0.000 0.500
0.000 0.000 0.000
```

formation energy (no corrections): 0.55 eV/atom
space-group type: P4/mmm, No. 123


Entry 7:
Density functional theory data (GGA-PBEsol) for a relaxed structure of MgBSb2I.

The structure in POSCAR format:
```
MgBSb2I
1.0
4.793 0.000 0.000
0.000 4.793 0.000
0.000 0.000 5.189
I Sb B Mg
1 2 1 1
Direct
0.000 0.000 0.500
0.000 0.500 0.000
0.500 0.000 0.000
0.000 0.000 0.000
0.500 0.500 0.500
```

formation energy (no corrections): 0.62 eV/atom
space-group type: P4/mmm, No. 123


Entry 8:
Density functional theory data (GGA-PBEsol) for a relaxed structure of Mg2TlBI.

The structure in POSCAR format:
```
Mg2TlBI
1.0
5.562 0.000 0.000
0.000 5.562 0.000
0.000 0.000 6.205
Tl B I Mg
1 1 1 2
Direct
0.000 0.000 0.500
0.500 0.500 0.500
0.000 0.000 0.000
0.000 0.500 0.000
0.500 0.000 0.000
```

formation energy (no corrections): 1.51 eV/atom
space-group type: P4/mmm, No. 123


Entry 9:
Density functional theory data (GGA-PBEsol) for a relaxed structure of Mn3BI.

The structure in POSCAR format:
```
Mn3BI
1.0
4.101 0.000 0.000
0.000 4.101 0.000
0.000 0.000 4.101
Mn I B
3 1 1
Direct
0.000 0.000 0.500
0.500 0.000 0.000
0.000 0.500 0.000
0.500 0.500 0.500
0.000 0.000 0.000
```

formation energy (no corrections): 0.52 eV/atom
space-group type: Pm-3m, No. 221


Entry 10:
Density functional theory data (GGA-PBEsol) for a relaxed structure of MnBIN2.

The structure in POSCAR format:
```
MnBIN2
1.0
-0.707 -2.875 -1.711
2.956 0.282 -1.695
2.782 -3.250 4.310
N Mn B I
2 1 1 1
Direct
0.000 0.500 0.000
0.500 0.000 0.000
0.500 0.500 0.500
0.000 0.000 0.000
0.000 0.000 0.500
```

formation energy (no corrections): 1.50 eV/atom
space-group type: P4/mmm, No. 123


Entry 11:
Density functional theory data (GGA-PBEsol) for a relaxed structure of MnBI2N.

The structure in POSCAR format:
```
MnBI2N
1.0
-2.831 -2.039 0.422
1.715 -3.186 -3.889
2.639 -2.926 3.562
B Mn I N
1 1 2 1
Direct
0.500 0.500 0.500
0.000 0.000 0.000
0.000 0.500 0.000
0.000 0.000 0.500
0.500 0.000 0.000
```

formation energy (no corrections): 0.99 eV/atom
space-group type: P4/mmm, No. 123


Entry 12:
Density functional theory data (GGA-PBEsol) for a relaxed structure of MnSnBI2.

The structure in POSCAR format:
```
MnSnBI2
1.0
-2.671 -3.330 2.940
2.614 -4.634 -2.874
4.475 0.002 4.068
Sn I Mn B
1 2 1 1
Direct
0.000 0.000 0.000
0.000 0.000 0.500
0.000 0.500 0.000
0.500 0.000 0.000
0.500 0.500 0.500
```

formation energy (no corrections): 1.51 eV/atom
space-group type: P4/mmm, No. 123


Entry 13:
Density functional theory data (GGA-PBEsol) for a relaxed structure of MnBTe2I.

The structure in POSCAR format:
```
MnBTe2I
1.0
4.827 0.000 0.000
0.000 4.827 0.000
0.000 0.000 5.006
B Mn I Te
1 1 1 2
Direct
0.000 0.000 0.000
0.500 0.500 0.500
0.000 0.000 0.500
0.500 0.000 0.000
0.000 0.500 0.000
```

formation energy (no corrections): 0.89 eV/atom
space-group type: P4/mmm, No. 123


Entry 14:
Density functional theory data (GGA-PBEsol) for a relaxed structure of BMoIN2.

The structure in POSCAR format:
```
BMoIN2
1.0
-2.522 2.304 -1.776
-1.253 -2.982 -2.089
-3.845 -1.158 3.959
Mo N I B
1 2 1 1
Direct
0.000 0.000 0.000
0.000 0.500 0.000
0.500 0.000 0.000
0.000 0.000 0.500
0.500 0.500 0.500
```

energy relative to the lowest polymorph listed for this composition: 0.000 eV per atom
formation energy (no corrections): 1.19 eV/atom
space-group type: P4/mmm, No. 123


Entry 15:
Density functional theory data (GGA-PBEsol) for a relaxed structure of BMoIN2.

The structure in POSCAR format:
```
BMoIN2
1.0
3.723 0.000 0.000
0.000 3.723 0.000
0.000 0.000 4.459
N Mo I B
2 1 1 1
Direct
0.000 0.500 0.000
0.500 0.000 0.000
0.500 0.500 0.500
0.000 0.000 0.500
0.000 0.000 0.000
```

energy relative to the lowest polymorph listed for this composition: 0.792 eV per atom
formation energy (no corrections): 1.98 eV/atom
space-group type: P4/mmm, No. 123


Entry 16:
Density functional theory data (GGA-PBEsol) for a relaxed structure of BMo2PI.

The structure in POSCAR format:
```
BMo2PI
1.0
-3.731 -2.003 0.817
1.805 -1.984 3.378
-1.207 3.303 2.585
B P Mo I
1 1 2 1
Direct
0.000 0.000 0.000
0.500 0.500 0.500
0.500 0.000 0.000
0.000 0.500 0.000
0.000 0.000 0.500
```

formation energy (no corrections): 1.27 eV/atom
space-group type: P4/mmm, No. 123


Entry 17:
Density functional theory data (GGA-PBEsol) for a relaxed structure of BMoPd2I.

The structure in POSCAR format:
```
BMoPd2I
1.0
-1.330 0.106 -4.648
2.807 -3.836 -0.891
-3.905 -3.100 1.047
Mo Pd B I
1 2 1 1
Direct
0.000 0.000 0.500
0.000 0.500 0.000
0.500 0.000 0.000
0.500 0.500 0.500
0.000 0.000 0.000
```

formation energy (no corrections): 2.16 eV/atom
space-group type: P4/mmm, No. 123


Entry 18:
Density functional theory data (GGA-PBEsol) for a relaxed structure of NaBIN2.

The structure in POSCAR format:
```
NaBIN2
1.0
4.398 0.000 0.000
0.000 4.398 0.000
0.000 0.000 6.042
B I N Na
1 1 2 1
Direct
0.500 0.500 0.500
0.000 0.000 0.500
0.000 0.500 0.000
0.500 0.000 0.000
0.000 0.000 0.000
```

formation energy (no corrections): 2.56 eV/atom
space-group type: P4/mmm, No. 123


Entry 19:
Density functional theory data (GGA-PBEsol) for a relaxed structure of BPIN2.

The structure in POSCAR format:
```
BPIN2
1.0
3.322 0.000 0.000
0.000 3.322 0.000
0.000 0.000 6.983
P N I B
1 2 1 1
Direct
0.000 0.000 0.000
0.000 0.500 0.000
0.500 0.000 0.000
0.000 0.000 0.500
0.500 0.500 0.500
```

energy relative to the lowest polymorph listed for this composition: 0.000 eV per atom
formation energy (no corrections): 1.30 eV/atom
space-group type: P4/mmm, No. 123


Entry 20:
Density functional theory data (GGA-PBEsol) for a relaxed structure of BPIN2.

The structure in POSCAR format:
```
BPIN2
1.0
3.413 0.000 0.000
0.000 3.413 0.000
0.000 0.000 6.535
N B P I
2 1 1 1
Direct
0.500 0.000 0.000
0.000 0.500 0.000
0.000 0.000 0.000
0.500 0.500 0.500
0.000 0.000 0.500
```

energy relative to the lowest polymorph listed for this composition: 0.380 eV per atom
formation energy (no corrections): 1.68 eV/atom
space-group type: P4/mmm, No. 123


Entry 21:
Density functional theory data (GGA-PBEsol) for a relaxed structure of BPdI2N.

The structure in POSCAR format:
```
BPdI2N
1.0
-0.944 -3.506 -0.692
5.097 -1.644 1.376
-1.613 -0.602 5.255
Pd N I B
1 1 2 1
Direct
0.000 0.000 0.000
0.500 0.000 0.000
0.000 0.500 0.000
0.000 0.000 0.500
0.500 0.500 0.500
```

formation energy (no corrections): 1.34 eV/atom
space-group type: P4/mmm, No. 123


Entry 22:
Density functional theory data (GGA-PBEsol) for a relaxed structure of SiBIN2.

The structure in POSCAR format:
```
SiBIN2
1.0
3.592 0.000 0.000
0.000 3.592 0.000
0.000 0.000 4.916
I N Si B
1 2 1 1
Direct
0.000 0.000 0.500
0.500 0.000 0.000
0.000 0.500 0.000
0.500 0.500 0.500
0.000 0.000 0.000
```

formation energy (no corrections): 1.73 eV/atom
space-group type: P4/mmm, No. 123


Entry 23:
Density functional theory data (GGA-PBEsol) for a relaxed structure of Sr2BIN2.

The structure in POSCAR format:
```
Sr2BIN2
1.0
-2.812 1.881 2.458
-7.525 -5.117 -4.692
1.347 -9.604 8.888
Sr N B I
8 8 4 4
Direct
0.750 0.194 0.385
0.750 0.603 0.826
0.750 0.651 0.369
0.250 0.397 0.174
0.750 0.078 0.904
0.250 0.806 0.615
0.250 0.922 0.096
0.250 0.349 0.631
0.250 0.949 0.910
0.750 0.696 0.554
0.750 0.475 0.661
0.750 0.271 0.206
0.250 0.729 0.794
0.750 0.051 0.090
0.250 0.525 0.339
0.250 0.304 0.446
0.750 0.583 0.604
0.750 0.161 0.148
0.250 0.417 0.396
0.250 0.839 0.852
0.750 0.078 0.641
0.250 0.922 0.359
0.250 0.348 0.905
0.750 0.652 0.095
```

formation energy (no corrections): -1.34 eV/atom
space-group type: P2_1/m, No. 11


Entry 24:
Density functional theory data (GGA-PBEsol) for a relaxed structure of SrBIN2.

The structure in POSCAR format:
```
SrBIN2
1.0
-0.790 3.547 3.118
0.970 -2.972 3.627
6.267 1.667 -0.309
N Sr B I
2 1 1 1
Direct
0.500 0.000 0.000
0.000 0.500 0.000
0.000 0.000 0.000
0.500 0.500 0.500
0.000 0.000 0.500
```

formation energy (no corrections): 2.07 eV/atom
space-group type: P4/mmm, No. 123


Entry 25:
Density functional theory data (GGA-PBEsol) for a relaxed structure of TaBI2N.

The structure in POSCAR format:
```
TaBI2N
1.0
2.796 0.000 0.000
0.000 5.993 0.000
0.000 0.000 5.993
Ta I B N
1 2 1 1
Direct
0.500 0.500 0.500
0.000 0.000 0.500
0.000 0.500 0.000
0.000 0.000 0.000
0.500 0.000 0.000
```

formation energy (no corrections): 0.76 eV/atom
space-group type: P4/mmm, No. 123